The following is a DFT calculation (PBE) of a relaxed HPdI2O crystal.

```
data_HPdI2O
_symmetry_space_group_name_H-M 'P 4/m m m'
_symmetry_Int_Tables_number 123
_symmetry_space_group_name_Hall '-P 4 2'
_cell_length_a 5.587
_cell_length_b 5.587
_cell_length_c 2.856
_cell_angle_alpha 90.00
_cell_angle_beta 90.00
_cell_angle_gamma 90.00
loop_
_atom_site_label
_atom_site_type_symbol
_atom_site_fract_x
_atom_site_fract_y
_atom_site_fract_z
_atom_site_occupancy
H1 H 0.000 0.000 0.000 1
Pd1 Pd 0.500 0.500 0.500 1
I1 I 0.000 0.500 0.000 1
O1 O 0.000 0.000 0.500 1
```

Properties
- polymorph energy (0 for the lowest one) (meV per atom) = 0